Computed, not measured: a relaxed CaNd2Al2 crystal at the PBE level of DFT.

Output
As for the formation energy: -26 kJ/mol of atoms. For the total energy, the calculation gives -20.4 eV/cell.

Geometry as extended XYZ:
```
5
Lattice="2.2661 -8.4387 0.0000 2.2661 8.4387 0.0000 0.0000 0.0000 3.8559" Properties=species:S:1:pos:R:3 pbc="T T T"
Ca 0.0000 0.0000 0.0000
Nd 2.2661 2.3721 1.9280
Nd 2.2661 -2.3721 1.9280
Al 2.2661 4.9757 0.0000
Al 2.2661 -4.9757 0.0000
```